Below is crystalline BeAgSeBr2 at its relaxed geometry, with properties calculated at the GGA-PBE level.

**Energy above the most stable polymorph in this dataset**: 0.0 kJ per mole of atoms
**N(E_F)**: 0.52 states/eV/atom
**Formation energy from raw total energies**: 22 kJ/mol of formula units
**Crystal system**: tetragonal
**Spin magnetization**: 0.00 μB per formula unit

a b c (Å): 5.0363 5.0363 4.4982
angles (deg): 90.00 90.00 90.00
Last column: nearest neighbours and their distance in Å.
Space group P4/mmm (No. 123)
Inequivalent atoms, fractional coordinates:
Be: 0.0000 0.0000 0.0000 [1 per cell]  2 Se 2.25, 4 Br 2.52
Ag: 0.5000 0.5000 0.5000 [1 per cell]  8 Br 3.38, 4 Se 3.56
Se: 0.0000 0.0000 0.5000 [1 per cell]  2 Be 2.25
Br: 0.0000 0.5000 0.0000 [2 per cell]  2 Be 2.52

---

Below is crystalline BeAgSeBr2 at its relaxed geometry, with properties calculated at the GGA-PBE level.

**Energy above the most stable polymorph in this dataset**: 66.2 kJ per mole of atoms
**N(E_F)**: 0.68 states/eV/atom
**Formation energy from raw total energies**: 353 kJ/mol of formula units
**Crystal system**: tetragonal
**Spin magnetization**: 0.00 μB per formula unit

a b c (Å): 5.1210 5.1210 5.3648
angles (deg): 90.00 90.00 90.00
Last column: nearest neighbours and their distance in Å.
Space group P4/mmm (No. 123)
Inequivalent atoms, fractional coordinates:
Be: 0.0000 0.0000 0.0000 [1 per cell]  4 Se 3.62, 8 Br 3.71
Ag: 0.5000 0.5000 0.5000 [1 per cell]  4 Br 2.56, 2 Se 2.68
Se: 0.5000 0.5000 0.0000 [1 per cell]  2 Ag 2.68
Br: 0.0000 0.5000 0.5000 [2 per cell]  2 Ag 2.56

---

Below is crystalline BeAgSe2Br at its relaxed geometry, with properties calculated at the GGA-PBE level.

**Energy above the most stable polymorph in this dataset**: 78.7 kJ per mole of atoms
**N(E_F)**: 0.75 states/eV/atom
**Formation energy from raw total energies**: 447 kJ/mol of formula units
**Crystal system**: tetragonal
**Spin magnetization**: 0.00 μB per formula unit

a b c (Å): 5.1046 5.1046 5.1467
angles (deg): 90.00 90.00 90.00
Last column: nearest neighbours and their distance in Å.
Space group P4/mmm (No. 123)
Inequivalent atoms, fractional coordinates:
Be: 0.0000 0.0000 0.0000 [1 per cell]  4 Br 3.61, 8 Se 3.62
Ag: 0.5000 0.5000 0.5000 [1 per cell]  4 Se 2.55, 2 Br 2.57
Se: 0.0000 0.5000 0.5000 [2 per cell]  2 Ag 2.55
Br: 0.5000 0.5000 0.0000 [1 per cell]  2 Ag 2.57

---

Below is crystalline BeAgSe2Br at its relaxed geometry, with properties calculated at the GGA-PBE level.

**Energy above the most stable polymorph in this dataset**: 0.0 kJ per mole of atoms
**N(E_F)**: 0.44 states/eV/atom
**Formation energy from raw total energies**: 53 kJ/mol of formula units
**Crystal system**: tetragonal
**Spin magnetization**: 0.00 μB per formula unit

a b c (Å): 4.2736 4.2736 7.3010
angles (deg): 90.00 90.00 90.00
Last column: nearest neighbours and their distance in Å.
Space group P4/mmm (No. 123)
Inequivalent atoms, fractional coordinates:
Be: 0.0000 0.0000 0.0000 [1 per cell]  4 Se 2.14
Ag: 0.5000 0.5000 0.5000 [1 per cell]  4 Br 3.02
Se: 0.0000 0.5000 0.0000 [2 per cell]  2 Be 2.14
Br: 0.0000 0.0000 0.5000 [1 per cell]  4 Ag 3.02

---

Below is crystalline Be2AgSnBr at its relaxed geometry, with properties calculated at the GGA-PBE level.

**N(E_F)**: 0.53 states/eV/atom
**Formation energy from raw total energies**: 571 kJ/mol of formula units
**Crystal system**: tetragonal
**Spin magnetization**: 0.00 μB per formula unit

a b c (Å): 4.4616 4.4616 5.7355
angles (deg): 90.00 90.00 90.00
Last column: nearest neighbours and their distance in Å.
Space group P4/mmm (No. 123)
Inequivalent atoms, fractional coordinates:
Be: 0.0000 0.5000 0.0000 [2 per cell]  2 Br 2.23
Ag: 0.0000 0.0000 0.5000 [1 per cell]  4 Sn 3.15
Sn: 0.5000 0.5000 0.5000 [1 per cell]  2 Br 2.87, 4 Ag 3.15
Br: 0.5000 0.5000 0.0000 [1 per cell]  4 Be 2.23

---

Below is crystalline BeTl2AgBr at its relaxed geometry, with properties calculated at the GGA-PBE level.

**N(E_F)**: 0.27 states/eV/atom
**Formation energy from raw total energies**: 79 kJ/mol of formula units
**Crystal system**: tetragonal
**Spin magnetization**: 0.00 μB per formula unit

a b c (Å): 5.6727 5.6727 4.5382
angles (deg): 90.00 90.00 90.00
Last column: nearest neighbours and their distance in Å.
Space group P4/mmm (No. 123)
Inequivalent atoms, fractional coordinates:
Be: 0.0000 0.0000 0.0000 [1 per cell]  2 Ag 2.27
Tl: 0.0000 0.5000 0.5000 [2 per cell]  2 Ag 2.84
Ag: 0.0000 0.0000 0.5000 [1 per cell]  2 Be 2.27
Br: 0.5000 0.5000 0.0000 [1 per cell]  8 Tl 3.63, 4 Be 4.01

---

Below is crystalline Be2TlAgBr6 at its relaxed geometry, with properties calculated at the GGA-PBE level.

**N(E_F)**: 0.00 states/eV/atom
**Formation energy from raw total energies**: -783 kJ/mol of formula units
**Crystal system**: monoclinic
**Spin magnetization**: 0.00 μB per formula unit

a b c (Å): 14.5897 14.9318 6.3847
angles (deg): 90.00 111.27 90.00
Last column: nearest neighbours and their distance in Å.
Space group C2/c (No. 15)
Inequivalent atoms, fractional coordinates:
Be: 0.2447 0.0763 0.3179 [8 per cell]  4 Br 2.13-2.32
Tl: 0.0000 0.0666 0.7500 [4 per cell]  4 Br 3.11-3.46
Ag: 0.0000 0.4933 0.2500 [4 per cell]  4 Br 2.74-2.79
Br: 0.1025 0.3814 0.5961 [8 per cell]  1 Be 2.19
Br: 0.1428 0.1779 0.1456 [8 per cell]  1 Be 2.13
Br: 0.2183 0.0575 0.6516 [8 per cell]  2 Be 2.23-2.32

---

Below is crystalline BeTlAgBr4 at its relaxed geometry, with properties calculated at the GGA-PBE level.

**N(E_F)**: 0.00 states/eV/atom
**Formation energy from raw total energies**: -513 kJ/mol of formula units
**Crystal system**: monoclinic
**Spin magnetization**: 0.00 μB per formula unit

a b c (Å): 6.5221 7.4817 9.0123
angles (deg): 90.00 106.14 90.00
Last column: nearest neighbours and their distance in Å.
Space group P2_1/m (No. 11)
Inequivalent atoms, fractional coordinates:
Be: 0.2041 0.2500 0.3055 [2 per cell]  4 Br 2.16-2.25
Tl: 0.2258 0.7500 0.0605 [2 per cell]  9 Br 3.48-3.80, 1 Be 3.69
Ag: 0.1820 0.7500 0.5240 [2 per cell]  5 Br 2.67-2.97
Br: 0.0197 0.5170 0.7169 [4 per cell]  1 Be 2.25
Br: 0.3294 0.2500 0.1055 [2 per cell]  1 Be 2.18
Br: 0.4361 0.2500 0.5299 [2 per cell]  1 Be 2.16

---

Below is crystalline YBeAgBr2 at its relaxed geometry, with properties calculated at the GGA-PBE level.

**Energy above the most stable polymorph in this dataset**: 0.0 kJ per mole of atoms
**N(E_F)**: 0.80 states/eV/atom
**Formation energy from raw total energies**: -13 kJ/mol of formula units
**Crystal system**: tetragonal
**Spin magnetization**: 0.00 μB per formula unit

a b c (Å): 4.7334 4.7334 5.0472
angles (deg): 90.00 90.00 90.00
Last column: nearest neighbours and their distance in Å.
Space group P4/mmm (No. 123)
Inequivalent atoms, fractional coordinates:
Y: 0.0000 0.0000 0.0000 [1 per cell]  4 Ag 3.35, 8 Br 3.46
Be: 0.5000 0.5000 0.5000 [1 per cell]  4 Br 2.37, 2 Ag 2.52
Ag: 0.5000 0.5000 0.0000 [1 per cell]  2 Be 2.52
Br: 0.0000 0.5000 0.5000 [2 per cell]  2 Be 2.37

---

Below is crystalline YBeAgBr2 at its relaxed geometry, with properties calculated at the GGA-PBE level.

**Energy above the most stable polymorph in this dataset**: 4.1 kJ per mole of atoms
**N(E_F)**: 0.12 states/eV/atom
**Formation energy from raw total energies**: 7 kJ/mol of formula units
**Crystal system**: tetragonal
**Spin magnetization**: 0.00 μB per formula unit

a b c (Å): 5.5032 5.5032 6.0181
angles (deg): 90.00 90.00 90.00
Last column: nearest neighbours and their distance in Å.
Space group P4/mmm (No. 123)
Inequivalent atoms, fractional coordinates:
Y: 0.0000 0.0000 0.0000 [1 per cell]  4 Br 2.75, 2 Ag 3.01
Be: 0.5000 0.5000 0.5000 [1 per cell]  4 Ag 3.89, 8 Br 4.08
Ag: 0.0000 0.0000 0.5000 [1 per cell]  2 Y 3.01
Br: 0.0000 0.5000 0.0000 [2 per cell]  2 Y 2.75

---

Below is crystalline BeZn2AgBr at its relaxed geometry, with properties calculated at the GGA-PBE level.

**N(E_F)**: 0.00 states/eV/atom
**Formation energy from raw total energies**: 534 kJ/mol of formula units
**Crystal system**: tetragonal
**Spin magnetization**: 0.00 μB per formula unit

a b c (Å): 6.5746 6.5746 4.9766
angles (deg): 90.00 90.00 90.00
Last column: nearest neighbours and their distance in Å.
Space group P4/mmm (No. 123)
Inequivalent atoms, fractional coordinates:
Be: 0.0000 0.0000 0.0000 [1 per cell]  8 Zn 4.12
Zn: 0.0000 0.5000 0.5000 [2 per cell]  2 Br 3.29
Ag: 0.5000 0.5000 0.0000 [1 per cell]  2 Br 2.49
Br: 0.5000 0.5000 0.5000 [1 per cell]  2 Ag 2.49

---

Below is crystalline ZrBeAgBr2 at its relaxed geometry, with properties calculated at the GGA-PBE level.

**N(E_F)**: 0.91 states/eV/atom
**Formation energy from raw total energies**: 221 kJ/mol of formula units
**Crystal system**: tetragonal
**Spin magnetization**: 1.94 μB per formula unit

a b c (Å): 4.6439 4.6439 4.9903
angles (deg): 90.00 90.00 90.00
Last column: nearest neighbours and their distance in Å.
Space group P4/mmm (No. 123)
Inequivalent atoms, fractional coordinates:
Zr: 0.0000 0.0000 0.0000 [1 per cell]  4 Ag 3.28, 8 Br 3.41
Be: 0.5000 0.5000 0.5000 [1 per cell]  4 Br 2.32, 2 Ag 2.50
Ag: 0.5000 0.5000 0.0000 [1 per cell]  2 Be 2.50
Br: 0.0000 0.5000 0.5000 [2 per cell]  2 Be 2.32

---

Which of these has the highest N(E_F)? ZrBeAgBr2